No. 1
{"formula": "LaSc2InHg4", "functional": "PBE", "state": "relaxed", "lattice_angstrom": [[2.447, 1.413, 9.832], [-2.447, 1.413, 9.832], [0.000, -2.825, 9.832]], "species": ["La", "Sc", "Sc", "In", "Hg", "Hg", "Hg", "Hg"], "frac_coords": [[0.000, 0.000, 0.000], [0.217, 0.217, 0.217], [0.783, 0.783, 0.783], [0.500, 0.500, 0.500], [0.111, 0.111, 0.111], [0.391, 0.391, 0.391], [0.609, 0.609, 0.609], [0.889, 0.889, 0.889]], "dos_ef_per_ev_fu": 5.6, "m_tot_mub_per_cell": 0.0, "e_form_ev_per_atom": -0.343}

No. 2
{"formula": "Tb2Mn2Se2S3", "functional": "PBE", "state": "relaxed", "lattice_angstrom": [[-2.323, 2.323, 9.139], [2.323, -2.323, 9.139], [2.323, 2.323, -9.139]], "species": ["Tb", "Tb", "Mn", "Mn", "Se", "Se", "S", "S", "S"], "frac_coords": [[0.174, 0.174, 0.000], [0.826, 0.826, 0.000], [0.000, 0.500, 0.500], [0.500, 0.000, 0.500], [0.405, 0.405, 0.000], [0.595, 0.595, 0.000], [0.000, 0.000, 0.000], [0.250, 0.750, 0.500], [0.750, 0.250, 0.500]], "dos_ef_per_ev_fu": 2.3, "m_tot_mub_per_cell": 9.4, "formation_energy_uncorrected_ev_per_atom": -1.083}

No. 3
{"formula": "Cr2AgRh", "functional": "PBE", "state": "relaxed", "lattice_angstrom": [[-1.965, 1.965, 3.866], [1.965, -1.965, 3.866], [1.965, 1.965, -3.866]], "species": ["Cr", "Cr", "Ag", "Rh"], "frac_coords": [[0.000, 0.000, 0.000], [0.750, 0.250, 0.500], [0.500, 0.500, 0.000], [0.250, 0.750, 0.500]], "dos_ef_per_ev_fu": 6.1, "m_tot_mub_per_cell": 0.8, "e_form_ev_per_atom": 0.309}

No. 4
{"formula": "PuZr2U3P6", "functional": "PBE", "state": "relaxed", "lattice_angstrom": [[3.334, -5.781, 0.000], [3.334, 5.781, 0.000], [-2.229, 0.000, 6.397]], "species": ["Pu", "Zr", "Zr", "U", "U", "U", "P", "P", "P", "P", "P", "P"], "frac_coords": [[0.000, 0.000, 0.000], [0.333, 0.667, 0.000], [0.667, 0.333, 0.000], [0.165, 0.835, 0.500], [0.500, 0.500, 0.500], [0.835, 0.165, 0.500], [0.081, 0.421, 0.244], [0.259, 0.259, 0.759], [0.421, 0.081, 0.244], [0.579, 0.919, 0.756], [0.741, 0.741, 0.241], [0.919, 0.579, 0.756]], "dos_ef_per_ev_fu": 24.9, "m_tot_mub_per_cell": 11.2, "e_form_ev_per_atom": -1.171}

No. 5
{"formula": "Ca2InGe3Rh4", "functional": "PBE", "state": "relaxed", "lattice_angstrom": [[4.251, 0.000, 0.000], [0.000, 4.251, 0.000], [0.000, 0.000, 10.533]], "species": ["Ca", "Ca", "In", "Ge", "Ge", "Ge", "Rh", "Rh", "Rh", "Rh"], "frac_coords": [[0.000, 0.500, 0.240], [0.500, 0.000, 0.760], [0.000, 0.000, 0.500], [0.000, 0.500, 0.878], [0.500, 0.000, 0.122], [0.500, 0.500, 0.500], [0.000, 0.000, 0.000], [0.000, 0.500, 0.647], [0.500, 0.000, 0.353], [0.500, 0.500, 0.000]], "dos_ef_per_ev_fu": 3.4, "m_tot_mub_per_cell": 0.0, "e_form_ev_per_atom": -0.689}

No. 6
{"formula": "BIr2RuW", "functional": "PBE", "state": "relaxed", "lattice_angstrom": [[4.098, 0.000, 0.000], [0.000, 4.098, 0.000], [0.000, 0.000, 4.094]], "species": ["B", "Ir", "Ir", "Ru", "W"], "frac_coords": [[0.000, 0.000, 0.000], [0.000, 0.500, 0.000], [0.500, 0.000, 0.000], [0.000, 0.000, 0.500], [0.500, 0.500, 0.500]], "dos_ef_per_ev_fu": 5.0, "m_tot_mub_per_cell": 1.1, "e_form_ev_per_atom": 0.200}